# InNiBO4

Crystalline InNiBO4 at its relaxed geometry (GGA+U, the Alexandria database).

Unit cell a=5.294 b=8.404 c=6.181 alpha=90.00 beta=90.00 gamma=90.00
Space group Cmcm (No. 63)
Asymmetric unit:
In 0.000 0.173 0.250 x4
Ni 0.000 0.500 0.000 x4
B 0.000 0.155 0.750 x4
O 0.000 0.260 0.562 x8
O 0.230 0.043 0.750 x8

Total DFT energy (no corrections)   -6.198 eV/atom